Here is an optimized crystal structure of MgCrOF2 from the Alexandria database. Energies are from PBE with a Hubbard U.

E: -5.510 eV/atom
Space-group type: P4/mmm, No. 123

Unit cell a=4.0250 b=4.0250 c=4.0016 alpha=90.00 beta=90.00 gamma=90.00
Site moments in Bohr magnetons follow the coordinates.
Atoms (fractional coordinates):
Cr1 0.0000 0.0000 0.0000  3.51
Mg1 0.5000 0.5000 0.5000  0.00
O1 0.0000 0.0000 0.5000  -0.01
F1 0.0000 0.5000 0.0000  0.00
F2 0.5000 0.0000 0.0000  0.00